(1)
A plane-wave DFT calculation with PBE was carried out for a geometry-optimized Cs2AgSe2N structure.

Cell and atoms, written as CIF:
```
data_Cs2AgSe2N
_space_group_name_H-M_alt 'I b a m'
_space_group_IT_number 72
_space_group_name_Hall '-I 2 2c'
_cell_length_a 7.612
_cell_length_b 14.527
_cell_length_c 6.549
_cell_angle_alpha 90.00
_cell_angle_beta 90.00
_cell_angle_gamma 90.00
loop_
_atom_site_label
_atom_site_fract_x
_atom_site_fract_y
_atom_site_fract_z
Cs1 0.173 0.174 0.000
Ag1 0.000 0.500 0.250
Se1 0.214 0.047 0.500
N1 0.000 0.000 0.250
```

total magnetization = 0.000 μB/atom
N(E_F) = 8.07 states/eV per cell
formation energy from raw total energies = 1.1 eV/f.u.


(2)
A plane-wave DFT calculation with PBE was carried out for a geometry-optimized TiCrSeN2 structure.

Cell and atoms, written as CIF:
```
data_TiCrSeN2
_space_group_name_H-M_alt 'P 4/m m m'
_space_group_IT_number 123
_space_group_name_Hall '-P 4 2'
_cell_length_a 3.847
_cell_length_b 3.847
_cell_length_c 5.372
_cell_angle_alpha 90.00
_cell_angle_beta 90.00
_cell_angle_gamma 90.00
loop_
_atom_site_label
_atom_site_fract_x
_atom_site_fract_y
_atom_site_fract_z
Ti1 0.000 0.000 0.000
Cr1 0.500 0.500 0.500
Se1 0.000 0.000 0.500
N1 0.000 0.500 0.000
```

total magnetization = 0.709 μB/atom
N(E_F) = 3.46 states/eV per cell
formation energy from raw total energies = 1.4 eV/f.u.
offset from the most stable computed form = 0.306 eV per formula unit


(3)
A plane-wave DFT calculation with PBE was carried out for a geometry-optimized AgSn structure.

Cell and atoms, written as CIF:
```
data_AgSn
_space_group_name_H-M_alt 'F -4 3 m'
_space_group_IT_number 216
_space_group_name_Hall 'F -4 2 3'
_cell_length_a 6.300
_cell_length_b 6.300
_cell_length_c 6.300
_cell_angle_alpha 90.00
_cell_angle_beta 90.00
_cell_angle_gamma 90.00
loop_
_atom_site_label
_atom_site_fract_x
_atom_site_fract_y
_atom_site_fract_z
Ag1 0.000 0.000 0.000
Sn1 0.250 0.250 0.750
```

total magnetization = 0.000 μB/atom
N(E_F) = 5.06 states/eV per cell
calculated formation energy = 0.90 eV per formula unit


(4)
A plane-wave DFT calculation with PBE was carried out for a geometry-optimized MoPtCl2 structure.

Cell and atoms, written as CIF:
```
data_MoPtCl2
_space_group_name_H-M_alt 'R -3 m'
_space_group_IT_number 166
_space_group_name_Hall '-R 3 2"'
_cell_length_a 2.9595
_cell_length_b 2.9595
_cell_length_c 29.6857
_cell_angle_alpha 90.00
_cell_angle_beta 90.00
_cell_angle_gamma 120.00
loop_
_atom_site_label
_atom_site_fract_x
_atom_site_fract_y
_atom_site_fract_z
Mo1 0.0000 0.0000 0.0000
Pt1 0.0000 0.0000 0.5000
Cl1 0.0000 0.0000 0.3935
```

total magnetization = 0.000 μB/atom
N(E_F) = 13.37 states/eV per cell
formation energy from raw total energies = 0.4 eV/f.u.
offset from the most stable computed form = 1.352 eV per formula unit


The lowest N(E_F) belongs to which entry? TiCrSeN2